# Ac8HOs3Br4, relaxed, DFT GGA-PBE
# - crystal system = trigonal
data_Ac8HOs3Br4
_chemical_formula_sum 'Ac24 H3 Os9 Br12'
_space_group_name_H-M_alt 'R -3 m'
_space_group_IT_number 166
_space_group_name_Hall '-R 3 2"'
_cell_length_a 8.5721
_cell_length_b 8.5721
_cell_length_c 24.8668
_cell_angle_alpha 90.00
_cell_angle_beta 90.00
_cell_angle_gamma 120.00
loop_
_atom_site_label
_atom_site_type_symbol
_atom_site_fract_x
_atom_site_fract_y
_atom_site_fract_z
Ac1 Ac 0.0000 0.0000 0.2330
Ac2 Ac 0.0054 0.5027 0.7690
H1 H 0.0000 0.0000 0.5000
Os1 Os 0.0000 0.5000 0.5000
Br1 Br 0.0000 0.0000 0.0000
Br2 Br 0.0000 0.5000 0.0000

---

# Ac8HPt3Br4, relaxed, DFT GGA-PBE
# - crystal system = monoclinic
data_Ac8HPt3Br4
_chemical_formula_sum 'Ac16 H2 Pt6 Br8'
_space_group_name_H-M_alt 'C 1 2/m 1'
_space_group_IT_number 12
_space_group_name_Hall '-C 2y'
_cell_length_a 15.242
_cell_length_b 8.789
_cell_length_c 9.655
_cell_angle_alpha 90.00
_cell_angle_beta 121.75
_cell_angle_gamma 90.00
loop_
_atom_site_label
_atom_site_type_symbol
_atom_site_fract_x
_atom_site_fract_y
_atom_site_fract_z
Ac1 Ac 0.018 0.249 0.304
Ac2 Ac 0.232 0.000 0.697
Ac3 Ac 0.232 0.500 0.695
H1 H 0.000 0.000 0.500
Pt1 Pt 0.000 0.500 0.500
Pt2 Pt 0.250 0.250 0.500
Br1 Br 0.000 0.000 0.000
Br2 Br 0.000 0.500 0.000
Br3 Br 0.250 0.250 0.000

---

# Ac8HRh3Br4, relaxed, DFT GGA-PBE
# - crystal system = monoclinic
data_Ac8HRh3Br4
_chemical_formula_sum 'Ac16 H2 Rh6 Br8'
_space_group_name_H-M_alt 'C 1 2/m 1'
_space_group_IT_number 12
_space_group_name_Hall '-C 2y'
_cell_length_a 14.900
_cell_length_b 8.596
_cell_length_c 9.677
_cell_angle_alpha 90.00
_cell_angle_beta 120.86
_cell_angle_gamma 90.00
loop_
_atom_site_label
_atom_site_type_symbol
_atom_site_fract_x
_atom_site_fract_y
_atom_site_fract_z
Ac1 Ac 0.019 0.250 0.306
Ac2 Ac 0.231 0.000 0.694
Ac3 Ac 0.232 0.500 0.695
H1 H 0.000 0.500 0.500
Rh1 Rh 0.000 0.000 0.500
Rh2 Rh 0.250 0.250 0.500
Br1 Br 0.000 0.000 0.000
Br2 Br 0.000 0.500 0.000
Br3 Br 0.250 0.250 0.000

---

# Ac8HRu3Br4, relaxed, DFT GGA-PBE
# - crystal system = monoclinic
data_Ac8HRu3Br4
_chemical_formula_sum 'Ac16 H2 Ru6 Br8'
_space_group_name_H-M_alt 'C 1 2/m 1'
_space_group_IT_number 12
_space_group_name_Hall '-C 2y'
_cell_length_a 14.729
_cell_length_b 8.489
_cell_length_c 9.693
_cell_angle_alpha 90.00
_cell_angle_beta 120.59
_cell_angle_gamma 90.00
loop_
_atom_site_label
_atom_site_type_symbol
_atom_site_fract_x
_atom_site_fract_y
_atom_site_fract_z
Ac1 Ac 0.020 0.247 0.307
Ac2 Ac 0.233 0.000 0.699
Ac3 Ac 0.233 0.500 0.693
H1 H 0.000 0.500 0.500
Ru1 Ru 0.000 0.000 0.500
Ru2 Ru 0.250 0.250 0.500
Br1 Br 0.000 0.000 0.000
Br2 Br 0.000 0.500 0.000
Br3 Br 0.250 0.250 0.000

---

Across the entries above, final energy takes the values -266.763; -158.902; -162.913; -168.790 eV per cell, respectively.